Below is RbBiRuO6 after structural relaxation, with properties calculated at the PBE level.

The crystal system is trigonal. The calculation puts the uncorrected formation energy at -976 meV per atom.

The space group is P312 (No. 149) and the conventional cell measures 5.6268, 5.6268 and 6.1376 Å, with angles of 90.00, 90.00 and 120.00 degrees. The distinct sites, in fractional coordinates, are Rb at (0.0000, 0.0000, 0.0000), Bi at (0.3333, 0.6667, 0.5000), Ru at (0.6667, 0.3333, 0.5000) and O at (0.4511, 0.0338, 0.6948).